(1)
## MgIn2Hg (PBE)

Data for a geometry-optimized MgIn2Hg structure.

Geometry as CIF:
```
data_MgIn2Hg
_cell_length_a 3.350
_cell_length_b 3.350
_cell_length_c 8.810
_cell_angle_alpha 90.00
_cell_angle_beta 90.00
_cell_angle_gamma 90.00
_space_group_name_H-M_alt 'P 4/m m m'
_space_group_IT_number 123
_space_group_name_Hall '-P 4 2'
loop_
_atom_site_label
_atom_site_type_symbol
_atom_site_fract_x
_atom_site_fract_y
_atom_site_fract_z
_atom_site_occupancy
Mg1 Mg 0.000 0.000 0.000 1
In1 In 0.500 0.500 0.242 1
Hg1 Hg 0.000 0.000 0.500 1
```


(2)
## Mg3In12Hg5 (PBE)

Data for a geometry-optimized Mg3In12Hg5 structure.

Geometry as CIF:
```
data_Mg3In12Hg5
_cell_length_a 17.088
_cell_length_b 17.088
_cell_length_c 17.088
_cell_angle_alpha 90.00
_cell_angle_beta 90.00
_cell_angle_gamma 90.00
_space_group_name_H-M_alt 'I a -3 d'
_space_group_IT_number 230
_space_group_name_Hall '-I 4bd 2c 3'
loop_
_atom_site_label
_atom_site_type_symbol
_atom_site_fract_x
_atom_site_fract_y
_atom_site_fract_z
_atom_site_occupancy
Mg1 Mg 0.000 0.250 0.125 1
In1 In 0.015 0.081 0.651 1
Hg1 Hg 0.000 0.000 0.000 1
Hg2 Hg 0.000 0.250 0.375 1
```


(3)
## MgIn2Hg (PBE)

Data for a geometry-optimized MgIn2Hg structure.

Geometry as CIF:
```
data_MgIn2Hg
_cell_length_a 3.360
_cell_length_b 3.360
_cell_length_c 8.689
_cell_angle_alpha 90.00
_cell_angle_beta 90.00
_cell_angle_gamma 90.00
_space_group_name_H-M_alt 'P 4 m m'
_space_group_IT_number 99
loop_
_space_group_symop_operation_xyz
'x,y,z'
'-y,x,z'
'-x,-y,z'
'y,-x,z'
'-x,y,z'
'y,x,z'
'x,-y,z'
'-y,-x,z'
loop_
_atom_site_label
_atom_site_type_symbol
_atom_site_fract_x
_atom_site_fract_y
_atom_site_fract_z
_atom_site_occupancy
Mg1 Mg 0.000 0.000 0.000 1
In1 In 0.000 0.000 0.470 1
In2 In 0.500 0.500 0.753 1
Hg1 Hg 0.500 0.500 0.209 1
```


Spin magnetization for the records above, in order: 0.000 0.000 0.000 μB/cell
Energy relative to the elements for the records above, in order: -0.01 0.15 -0.06 eV/atom
V for the records above, in order: 99 4989 98 Å³ per cell